(1)
Below is Ag5Rh after structural relaxation, with properties calculated at the GGA-PBE level.

Output
Energy of formation   0.1353 eV per atom
Space group   Cm
Distance to the lowest polymorph of the same formula   0.000 eV/atom

a = 5.6086 Å, b = 5.6086 Å, c = 6.9416 Å
α = 74.92°, β = 74.92°, γ = 29.30°
Site moments in Bohr magnetons follow the coordinates.
Fractional positions:
Ag 0.9425 0.9425 0.6160  0.00
Ag 0.6700 0.6700 0.6696  0.00
Ag 0.9982 0.9982 0.9968  0.00
Ag 0.3342 0.3342 0.3293  0.00
Ag 0.6121 0.6121 0.2753  0.00
Rh 0.2764 0.2764 0.9463  0.43

***

(2)
Below is Tb4GeSb3 after structural relaxation, with properties calculated at the GGA-PBE level.

Output
Space group   Pm-3m
Formation energy without anion corrections   -1002 meV per atom

a = 6.1524 Å, b = 6.1524 Å, c = 6.1524 Å
α = 90.00°, β = 90.00°, γ = 90.00°
Fractional positions:
Tb 0.5000 0.0000 0.0000
Tb 0.0000 0.0000 0.5000
Tb 0.5000 0.5000 0.5000
Tb 0.0000 0.5000 0.0000
Sb 0.5000 0.0000 0.5000
Sb 0.5000 0.5000 0.0000
Sb 0.0000 0.5000 0.5000
Ge 0.0000 0.0000 0.0000

***

(3)
Below is LiHoZnSi after structural relaxation, with properties calculated at the GGA-PBE level.

Output
Space group   F-43m
Formation energy without anion corrections   -356 meV per atom

a = 4.7291 Å, b = 4.7291 Å, c = 4.7291 Å
α = 60.00°, β = 60.00°, γ = 60.00°
Fractional positions:
Zn 0.7500 0.7500 0.7500
Li 0.0000 0.0000 0.0000
Ho 0.5000 0.5000 0.5000
Si 0.2500 0.2500 0.2500

***

(4)
Below is K2TlGa2 after structural relaxation, with properties calculated at the GGA-PBE level.

Output
Energy of formation   0.2337 eV per atom
Space group   I4/mmm
Distance to the lowest polymorph of the same formula   0.229 eV/atom

a = 4.7655 Å, b = 4.7655 Å, c = 8.1910 Å
α = 73.09°, β = 73.09°, γ = 90.00°
Fractional positions:
K 0.7500 0.2500 0.5000
K 0.2500 0.7500 0.5000
Ga 0.4159 0.4159 0.1682
Ga 0.5841 0.5841 0.8318
Tl 0.0000 0.0000 0.0000

***

(5)
Below is AlAsCl2 after structural relaxation, with properties calculated at the GGA-PBE level.

Output
Space group   P4mm
Distance to the lowest polymorph of the same formula   0.000 eV/atom
Formation energy without anion corrections   -619 meV per atom

a = 3.6992 Å, b = 3.6990 Å, c = 8.1849 Å
α = 90.00°, β = 90.00°, γ = 90.00°
Fractional positions:
Cl 0.0000 0.0000 0.9244
Cl 0.5000 0.5000 0.3209
As 0.5000 0.5000 0.5889
Al 0.0000 0.0000 0.6658

***

(6)
Below is Nb3B4W after structural relaxation, with properties calculated at the GGA-PBE level.

Output
Energy of formation   -0.4239 eV per atom
Space group   Immm

a = 3.2499 Å, b = 4.8330 Å, c = 6.8644 Å
α = 110.59°, β = 103.69°, γ = 90.00°
Fractional positions:
B 0.6310 0.8085 0.2621
B 0.3690 0.1915 0.7379
B 0.6309 0.4537 0.2619
B 0.3691 0.5463 0.7381
Nb 0.0000 0.5000 0.0000
Nb 0.8050 0.8050 0.6100
Nb 0.1950 0.1950 0.3900
W 0.5000 0.0000 0.0000

***

(7)
Below is Pm8Ni2Ru after structural relaxation, with properties calculated at the GGA-PBE level.

Output
Energy of formation   -0.1480 eV per atom
Space group   C2/m

a = 5.1367 Å, b = 6.7364 Å, c = 9.2011 Å
α = 103.99°, β = 106.21°, γ = 90.00°
Fractional positions:
Ru 0.5000 0.0000 0.0000
Pm 0.0369 0.7938 0.0738
Pm 0.3287 0.0230 0.6575
Pm 0.6713 0.9770 0.3425
Pm 0.9631 0.2062 0.9262
Pm 0.5887 0.4437 0.1774
Pm 0.1990 0.3341 0.3979
Pm 0.4113 0.5563 0.8226
Pm 0.8010 0.6659 0.6021
Ni 0.1886 0.7314 0.3773
Ni 0.8114 0.2686 0.6227

***

(8)
Below is Cs2TeP2 after structural relaxation, with properties calculated at the GGA-PBE level.

Output
Space group   P4/mbm
Formation energy without anion corrections   -318 meV per atom

a = 10.0035 Å, b = 10.0035 Å, c = 3.9660 Å
α = 90.00°, β = 90.00°, γ = 90.00°
Fractional positions:
P 0.9307 0.5693 0.0000
P 0.4307 0.9307 0.0000
P 0.5693 0.0693 0.0000
P 0.0693 0.4307 0.0000
Cs 0.7832 0.2832 0.5000
Cs 0.7168 0.7832 0.5000
Cs 0.2832 0.2168 0.5000
Cs 0.2168 0.7168 0.5000
Te 0.0000 0.0000 0.0000
Te 0.5000 0.5000 0.0000

***

(9)
Below is Eu2FeN after structural relaxation, with properties calculated at the GGA-PBE level.

Output
Space group   R-3m
Formation energy without anion corrections   848 meV per atom

a = 4.1093 Å, b = 4.1093 Å, c = 8.4913 Å
α = 76.00°, β = 76.00°, γ = 60.00°
Site moments in Bohr magnetons follow the coordinates.
Fractional positions:
N 0.5000 0.5000 0.5000  -0.33
Eu 0.4160 0.4160 0.7520  6.55
Eu 0.5840 0.5840 0.2480  6.55
Fe 0.0000 0.0000 0.0000  2.79

***

(10)
Below is RbYFe2 after structural relaxation, with properties calculated at the GGA-PBE level.

Output
Energy of formation   1.1889 eV per atom
Space group   Fm-3m
Distance to the lowest polymorph of the same formula   0.028 eV/atom

a = 5.1568 Å, b = 5.1568 Å, c = 5.1568 Å
α = 60.00°, β = 60.00°, γ = 60.00°
Site moments in Bohr magnetons follow the coordinates.
Fractional positions:
Fe 0.2500 0.2500 0.2500  2.81
Fe 0.7500 0.7500 0.7500  2.81
Rb 0.0000 0.0000 0.0000  -0.03
Y 0.5000 0.5000 0.5000  -0.52

***

(11)
Below is NaPuHg2 after structural relaxation, with properties calculated at the GGA-PBE level.

Output
Energy of formation   -0.0579 eV per atom
Space group   R3m

a = 3.4712 Å, b = 3.4712 Å, c = 10.4644 Å
α = 80.45°, β = 80.45°, γ = 60.00°
Site moments in Bohr magnetons follow the coordinates.
Fractional positions:
Pu 0.6667 0.6667 0.0000  5.70
Hg 0.0847 0.0847 0.7459  0.01
Hg 0.2487 0.2487 0.2540  0.01
Na 0.5000 0.5000 0.5001  0.00

***

(12)
Below is TaCo2Ru after structural relaxation, with properties calculated at the GGA-PBE level.

Output
Energy of formation   0.2488 eV per atom
Space group   R-3m
Distance to the lowest polymorph of the same formula   0.464 eV/atom

a = 8.6868 Å, b = 8.6868 Å, c = 8.6868 Å
α = 17.86°, β = 17.86°, γ = 17.86°
Fractional positions:
Ta 0.7500 0.7500 0.7500
Co 0.5035 0.5035 0.5035
Co 0.9965 0.9965 0.9965
Ru 0.2500 0.2500 0.2500

***

(13)
Below is SmThIn2 after structural relaxation, with properties calculated at the GGA-PBE level.

Output
Energy of formation   -0.3814 eV per atom
Space group   P4/mmm

a = 3.5448 Å, b = 3.5448 Å, c = 8.9990 Å
α = 90.00°, β = 90.00°, γ = 90.00°
Fractional positions:
In 0.0000 0.0000 0.2547
In 0.0000 0.0000 0.7453
Sm 0.5000 0.5000 0.5000
Th 0.5000 0.5000 0.0000

***

(14)
Below is KBaBeS2 after structural relaxation, with properties calculated at the GGA-PBE level.

Output
Space group   P2/c
Formation energy without anion corrections   -974 meV per atom

a = 4.8085 Å, b = 7.5655 Å, c = 9.2457 Å
α = 104.41°, β = 90.00°, γ = 90.00°
Fractional positions:
S 0.7854 0.7770 0.9620
S 0.2146 0.2230 0.0380
S 0.7854 0.2230 0.5380
S 0.2146 0.7770 0.4620
Ba 0.5204 0.0000 0.7500
Ba 0.4796 0.0000 0.2500
K 0.8000 0.5000 0.2500
K 0.2000 0.5000 0.7500
Be 0.0000 0.0000 0.0000
Be 0.0000 0.0000 0.5000

***

(15)
Below is La4CeIn2 after structural relaxation, with properties calculated at the GGA-PBE level.

Output
Energy of formation   -0.1737 eV per atom
Space group   P2_1/m
Distance to the lowest polymorph of the same formula   0.000 eV/atom

a = 9.0227 Å, b = 6.5775 Å, c = 8.2162 Å
α = 90.00°, β = 112.97°, γ = 90.00°
Site moments in Bohr magnetons follow the coordinates.
Fractional positions:
Ce 0.3376 0.7500 0.2956  0.52
Ce 0.6624 0.2500 0.7044  0.52
La 0.9770 0.2500 0.5777  0.00
La 0.4131 0.5109 0.7614  0.01
La 0.5869 0.4891 0.2386  0.01
La 0.5869 0.0109 0.2386  0.01
La 0.9020 0.2500 0.0844  0.03
La 0.0230 0.7500 0.4223  0.00
La 0.4131 0.9891 0.7614  0.01
La 0.0980 0.7500 0.9156  0.03
In 0.2363 0.2500 0.0042  0.00
In 0.2780 0.2500 0.3865  0.00
In 0.7220 0.7500 0.6135  0.00
In 0.7637 0.7500 0.9958  0.00

***

(16)
Below is AlCd2 after structural relaxation, with properties calculated at the GGA-PBE level.

Output
Energy of formation   0.0879 eV per atom
Space group   P-3m1

a = 3.0673 Å, b = 3.0673 Å, c = 7.6123 Å
α = 90.00°, β = 90.00°, γ = 120.00°
Fractional positions:
Cd 0.3333 0.6667 0.3253
Cd 0.6667 0.3333 0.6747
Al 0.0000 0.0000 0.0000

***

(17)
Below is Sr2Cd2Ga after structural relaxation, with properties calculated at the GGA-PBE level.

Output
Energy of formation   -0.1780 eV per atom
Space group   I4/mmm
Distance to the lowest polymorph of the same formula   0.177 eV/atom

a = 4.0929 Å, b = 4.0929 Å, c = 10.1448 Å
α = 78.36°, β = 78.36°, γ = 90.00°
Fractional positions:
Sr 0.5950 0.5950 0.8100
Sr 0.4050 0.4050 0.1900
Cd 0.7500 0.2500 0.5000
Cd 0.2500 0.7500 0.5000
Ga 0.0000 0.0000 0.0000

***

(18)
Below is TePb8 after structural relaxation, with properties calculated at the GGA-PBE level.

Output
Space group   I4/mmm
Formation energy without anion corrections   1 meV per atom

a = 7.8499 Å, b = 7.8499 Å, c = 7.8499 Å
α = 96.21°, β = 96.21°, γ = 141.58°
Fractional positions:
Pb 0.6688 0.3312 0.0000
Pb 0.3312 0.6688 0.0000
Pb 0.6688 0.6688 0.3376
Pb 0.0000 0.3331 0.3331
Pb 0.0000 0.6669 0.6669
Pb 0.3331 0.0000 0.3331
Pb 0.6669 0.0000 0.6669
Pb 0.3312 0.3312 0.6624
Te 0.0000 0.0000 0.0000

***

(19)
Below is TmUAlTc after structural relaxation, with properties calculated at the GGA-PBE level.

Output
Energy of formation   0.0501 eV per atom
Space group   F-43m

a = 4.7790 Å, b = 4.7790 Å, c = 4.7790 Å
α = 60.00°, β = 60.00°, γ = 60.00°
Site moments in Bohr magnetons follow the coordinates.
Fractional positions:
Al 0.5000 0.5000 0.5000  -0.01
U 0.0000 0.0000 0.0000  1.40
Tm 0.7500 0.7500 0.7500  0.21
Tc 0.2500 0.2500 0.2500  -0.25

***

(20)
Below is PrSmY6Ho2 after structural relaxation, with properties calculated at the GGA-PBE level.

Output
Energy of formation   0.1208 eV per atom
Space group   C2/c

a = 9.6682 Å, b = 8.8083 Å, c = 8.8083 Å
α = 117.03°, β = 94.20°, γ = 94.20°
Fractional positions:
Y 0.1174 0.7051 0.4898
Y 0.8826 0.2949 0.5102
Y 0.6808 0.0211 0.5697
Y 0.1808 0.5697 0.0211
Y 0.5567 0.7527 0.1171
Y 0.3192 0.9789 0.4303
Y 0.6174 0.4898 0.7051
Y 0.3826 0.5102 0.2949
Y 0.0567 0.1171 0.7527
Y 0.4433 0.2473 0.8829
Y 0.9433 0.8829 0.2473
Y 0.8192 0.4303 0.9789
Ho 0.9524 0.7057 0.8062
Ho 0.5476 0.1938 0.2943
Ho 0.0476 0.2943 0.1938
Ho 0.4524 0.8062 0.7057
Sm 0.2500 0.9734 0.0266
Sm 0.7500 0.0266 0.9734
Pr 0.2500 0.4072 0.5928
Pr 0.7500 0.5928 0.4072